{"formula": "SrHgO2", "functional": "PBE", "state": "relaxed", "rho_g_cm3": 6.60, "e_form_raw_ev_per_fu": -5.8, "spacegroup": "No. 122", "vol_a3_per_cell": 161.2, "lattice": [[-0.479, 2.066, -4.836], [0.332, -4.835, -2.098], [-5.819, -1.926, -3.129]], "species": ["Sr", "Sr", "Hg", "Hg", "O", "O", "O", "O"], "frac_coords": [[0.500, 0.500, 0.000], [0.250, 0.750, 0.500], [0.000, 0.000, 0.000], [0.750, 0.250, 0.500], [0.641, 0.125, 0.250], [0.109, 0.625, 0.250], [0.375, 0.359, 0.750], [0.875, 0.891, 0.750]]}